# 1
This record from the Alexandria database describes an optimized crystal structure of K3BaBr. The functional is PBE.

The structure in extended XYZ format:
```
5
Lattice="6.678 0.000 0.000 0.000 6.678 0.000 0.000 0.000 6.678" Properties=species:S:1:pos:R:3 pbc="T T T"
K 0.000 0.000 3.339
K 0.000 3.339 0.000
K 3.339 0.000 0.000
Ba 3.339 3.339 3.339
Br 0.000 0.000 0.000
```

Output
Its energy above the most stable polymorph in this dataset is 0.000 eV/atom. The calculation puts the uncorrected formation energy at -489.6 meV/atom.


# 2
This record from the Alexandria database describes an optimized crystal structure of K2BaBr4. The functional is PBE.

The structure in extended XYZ format:
```
14
Lattice="6.293 0.000 0.000 0.000 6.293 0.000 0.000 0.000 17.256" Properties=species:S:1:pos:R:3 pbc="T T T"
K 0.000 0.000 2.376
K 0.000 0.000 14.880
K 3.146 3.146 6.252
K 3.146 3.146 11.004
Ba 0.000 0.000 8.628
Ba 3.146 3.146 0.000
Br 0.000 0.000 5.478
Br 0.000 0.000 11.777
Br 0.000 3.146 0.000
Br 0.000 3.146 8.628
Br 3.146 0.000 0.000
Br 3.146 0.000 8.628
Br 3.146 3.146 3.149
Br 3.146 3.146 14.106
```

Output
Its energy above the most stable polymorph in this dataset is 0.096 eV/atom. The calculation puts the uncorrected formation energy at -1802.5 meV/atom.


Across the entries above, uncorrected energy takes the values -1.867 -3.347 eV per atom, respectively.